The following is a GGA+U calculation of crystalline KAsWO6 at its relaxed geometry, from the Alexandria database.

The structure in CIF format:
```
data_KAsWO6
_symmetry_space_group_name_H-M 'P 3 1 2'
_symmetry_Int_Tables_number 149
_symmetry_space_group_name_Hall 'P 3 2'
_cell_length_a 5.1471
_cell_length_b 5.1471
_cell_length_c 6.0332
_cell_angle_alpha 90.00
_cell_angle_beta 90.00
_cell_angle_gamma 120.00
loop_
_atom_site_label
_atom_site_type_symbol
_atom_site_fract_x
_atom_site_fract_y
_atom_site_fract_z
K1 K 0.0000 0.0000 0.0000
As1 As 0.3333 0.6667 0.5000
W1 W 0.6667 0.3333 0.5000
O1 O 0.0119 0.3959 0.6779
```

Output
Density of states at the Fermi level = 0.000 states/eV per atom
Uncorrected energy = -6.440 eV/atom